(a)
VASP calculation (PBE) on an optimized crystal structure of AcPm2Sc.

abc: 8.208 8.208 8.208
angles: 90.00 90.00 90.00
Space group Fm-3m (No. 225)
One atom of each set of equivalent atoms:
Ac 0.000 0.000 0.000
Pm 0.250 0.250 0.250
Sc 0.000 0.000 0.500

Values from the calculation:
Size of the total moment = 6.5 μB/cell
DOS(E_F) = 9.25 states/eV/f.u.



(b)
VASP calculation (PBE) on an optimized crystal structure of AcPm2Sc.

abc: 3.6757 3.6757 35.2388
angles: 90.00 90.00 120.00
Space group R3m (No. 160, hexagonal axes)
One atom of each set of equivalent atoms:
Ac 0.0000 0.0000 0.0000
Pm 0.0000 0.0000 0.5765
Pm 0.0000 0.0000 0.7570
Sc 0.0000 0.0000 0.1664

Values from the calculation:
Size of the total moment = 0.0 μB/cell
DOS(E_F) = 5.77 states/eV/f.u.



(c)
VASP calculation (PBE) on an optimized crystal structure of AcPm2Sc.

abc: 3.726 3.726 9.900
angles: 90.00 90.00 90.00
Space group P4/mmm (No. 123)
One atom of each set of equivalent atoms:
Ac 0.000 0.000 0.000
Pm 0.500 0.500 0.279
Sc 0.000 0.000 0.500

Values from the calculation:
Size of the total moment = 0.0 μB/cell
DOS(E_F) = 8.45 states/eV/f.u.



Which of them is least stable? Easy: (a).